(1)
Here is a relaxed Pr2TlTe crystal from the Alexandria database. Energies are from PBE-GGA.

Lattice parameters (Å, degrees): 4.3811 4.3811 8.4294 74.94 74.94 60.00
Atoms (fractional coordinates):
1 Pr 0.2482 0.2482 0.2555
2 Pr 0.7518 0.7518 0.7445
3 Tl 0.0000 0.0000 0.0000
4 Te 0.5000 0.5000 0.5000

Summary:
- Energy above the lowest structure with this stoichiometry: 42.1 meV/atom
- Symmetry: R-3m (166)

***

(2)
Here is a relaxed Pr6Tl3Te crystal from the Alexandria database. Energies are from PBE-GGA.

Lattice parameters (Å, degrees): 7.7319 9.3620 9.3620 91.93 90.00 90.00
Atoms (fractional coordinates):
1 Pr 0.0848 0.8541 0.6756
2 Pr 0.5848 0.6756 0.8541
3 Pr 0.2014 0.4725 0.7893
4 Pr 0.7014 0.7893 0.4725
5 Pr 0.2784 0.0079 0.9921
6 Pr 0.6849 0.3069 0.6931
7 Pr 0.1849 0.6931 0.3069
8 Pr 0.7784 0.9921 0.0079
9 Pr 0.2014 0.2107 0.5275
10 Pr 0.7014 0.5275 0.2107
11 Pr 0.0848 0.3244 0.1459
12 Pr 0.5848 0.1459 0.3244
13 Tl 0.4959 0.9918 0.6918
14 Tl 0.9959 0.6918 0.9918
15 Tl 0.4465 0.5013 0.4987
16 Tl 0.9465 0.4987 0.5013
17 Tl 0.9959 0.0082 0.3082
18 Tl 0.4959 0.3082 0.0082
19 Te 0.0115 0.1765 0.8235
20 Te 0.5115 0.8235 0.1765

Summary:
- Symmetry: Cmc2_1 (36)

***

(3)
Here is a relaxed Pr3TmTl3Te8 crystal from the Alexandria database. Energies are from PBE-GGA.

Lattice parameters (Å, degrees): 9.0413 9.0473 9.6873 117.84 90.02 119.98
Atoms (fractional coordinates):
1 Pr 0.5000 0.0000 0.5000
2 Pr 0.5000 0.5000 0.5000
3 Pr 0.0000 0.5000 0.5000
4 Tm 0.0000 0.0000 0.5000
5 Tl 0.0000 0.0000 0.0000
6 Tl 0.0000 0.5000 0.0000
7 Tl 0.5000 0.5000 0.0000
8 Te 0.2580 0.5162 0.2742
9 Te 0.7420 0.4838 0.7258
10 Te 0.7668 0.5336 0.2824
11 Te 0.2332 0.4664 0.7176
12 Te 0.7668 0.0157 0.2824
13 Te 0.2332 0.9843 0.7176
14 Te 0.2489 0.0157 0.2824
15 Te 0.7511 0.9843 0.7176

Summary:
- Symmetry: C2/m (12)

***

(4)
Here is a relaxed Pr2TmTl3Te6 crystal from the Alexandria database. Energies are from PBE-GGA.

Lattice parameters (Å, degrees): 7.8607 7.8607 8.5876 98.78 98.78 119.99
Atoms (fractional coordinates):
1 Pr 0.3339 0.6661 0.0000
2 Pr 0.6661 0.3339 0.0000
3 Tm 0.0000 0.0000 0.0000
4 Tl 0.1703 0.8297 0.5000
5 Tl 0.8297 0.1703 0.5000
6 Tl 0.5000 0.5000 0.5000
7 Te 0.9279 0.6065 0.7832
8 Te 0.7524 0.7524 0.2200
9 Te 0.0721 0.3935 0.2168
10 Te 0.6065 0.9279 0.7832
11 Te 0.2476 0.2476 0.7800
12 Te 0.3935 0.0721 0.2168

Summary:
- Symmetry: C2/m (12)

***

(5)
Here is a relaxed Pr2UTl3Te6 crystal from the Alexandria database. Energies are from PBE-GGA.

Lattice parameters (Å, degrees): 7.8843 7.8843 8.6212 98.76 98.76 120.00
Last column: magnetic moment on the atom in μB.
Atoms (fractional coordinates):
1 Pr 0.3336 0.6664 0.0000  0.05
2 Pr 0.6664 0.3336 0.0000  0.05
3 U 0.0000 0.0000 0.0000  2.69
4 Tl 0.1682 0.8318 0.5000  0.00
5 Tl 0.8318 0.1682 0.5000  0.00
6 Tl 0.5000 0.5000 0.5000  0.00
7 Te 0.9269 0.5999 0.7799  -0.02
8 Te 0.7474 0.7474 0.2218  -0.02
9 Te 0.0731 0.4001 0.2201  -0.02
10 Te 0.5999 0.9269 0.7799  -0.02
11 Te 0.2526 0.2526 0.7782  -0.02
12 Te 0.4001 0.0731 0.2201  -0.02

Summary:
- Symmetry: C2/m (12)

***

(6)
Here is a relaxed Pr3UTl4Te8 crystal from the Alexandria database. Energies are from PBE-GGA.

Lattice parameters (Å, degrees): 9.1280 9.7523 9.1289 117.90 120.00 90.00
Last column: magnetic moment on the atom in μB.
Atoms (fractional coordinates):
1 Pr 0.5000 0.5000 0.0000  0.04
2 Pr 0.5000 0.5000 0.5000  0.04
3 Pr 0.0000 0.5000 0.5000  0.04
4 U 0.0000 0.5000 0.0000  2.71
5 Tl 0.5000 0.0000 0.0000  -0.01
6 Tl 0.5000 0.0000 0.5000  0.00
7 Tl 0.0000 0.0000 0.0000  0.00
8 Tl 0.0000 0.0000 0.5000  0.00
9 Te 0.2372 0.7202 0.9830  -0.02
10 Te 0.2372 0.7202 0.4744  -0.02
11 Te 0.2589 0.2767 0.5178  0.00
12 Te 0.7458 0.7202 0.9830  -0.02
13 Te 0.2542 0.2798 0.0170  -0.02
14 Te 0.7411 0.7233 0.4822  0.00
15 Te 0.7628 0.2798 0.5256  -0.02
16 Te 0.7628 0.2798 0.0170  -0.02

Summary:
- Symmetry: R-3m (166)

***

(7)
Here is a relaxed PrU3Tl3Te8 crystal from the Alexandria database. Energies are from PBE-GGA.

Lattice parameters (Å, degrees): 8.9095 8.9350 9.7265 117.50 89.99 119.83
Last column: magnetic moment on the atom in μB.
Atoms (fractional coordinates):
1 Pr 0.0000 0.0000 0.5000  0.01
2 U 0.5000 0.0000 0.5000  -2.52
3 U 0.5000 0.5000 0.5000  2.56
4 U 0.0000 0.5000 0.5000  2.54
5 Tl 0.0000 0.0000 0.0000  0.01
6 Tl 0.0000 0.5000 0.0000  -0.01
7 Tl 0.5000 0.5000 0.0000  -0.01
8 Te 0.2606 0.5215 0.2831  -0.02
9 Te 0.7394 0.4785 0.7169  -0.02
10 Te 0.7555 0.5105 0.2819  -0.05
11 Te 0.2445 0.4895 0.7181  -0.05
12 Te 0.7559 0.0266 0.2813  0.00
13 Te 0.2441 0.9734 0.7187  0.00
14 Te 0.2706 0.0256 0.2809  0.00
15 Te 0.7294 0.9744 0.7191  0.00

Summary:
- Symmetry: P-1 (2)

***

(8)
Here is a relaxed PrU2Tl3Te6 crystal from the Alexandria database. Energies are from PBE-GGA.

Lattice parameters (Å, degrees): 7.7589 7.7589 8.6693 98.57 98.57 120.00
Last column: magnetic moment on the atom in μB.
Atoms (fractional coordinates):
1 Pr 0.0000 0.0000 0.0000  0.11
2 U 0.3327 0.6673 0.0000  2.73
3 U 0.6673 0.3327 0.0000  2.73
4 Tl 0.1636 0.8364 0.5000  0.00
5 Tl 0.8364 0.1636 0.5000  0.00
6 Tl 0.5000 0.5000 0.5000  0.00
7 Te 0.9266 0.5849 0.7807  -0.04
8 Te 0.7301 0.7301 0.2167  -0.04
9 Te 0.0734 0.4151 0.2193  -0.04
10 Te 0.5849 0.9266 0.7807  -0.04
11 Te 0.2699 0.2699 0.7833  -0.04
12 Te 0.4151 0.0734 0.2193  -0.04

Summary:
- Symmetry: C2/m (12)

***

(9)
Here is a relaxed PrU3Tl4Te8 crystal from the Alexandria database. Energies are from PBE-GGA.

Lattice parameters (Å, degrees): 8.9249 9.7661 8.9259 117.19 120.00 90.00
Last column: magnetic moment on the atom in μB.
Atoms (fractional coordinates):
1 Pr 0.0000 0.5000 0.0000  0.11
2 U 0.5000 0.5000 0.0000  2.74
3 U 0.5000 0.5000 0.5000  2.74
4 U 0.0000 0.5000 0.5000  2.74
5 Tl 0.5000 0.0000 0.0000  0.00
6 Tl 0.5000 0.0000 0.5000  0.00
7 Tl 0.0000 0.0000 0.0000  0.00
8 Tl 0.0000 0.0000 0.5000  0.00
9 Te 0.2432 0.7190 0.9759  -0.04
10 Te 0.2432 0.7190 0.4864  -0.04
11 Te 0.2616 0.2850 0.5233  -0.06
12 Te 0.7327 0.7190 0.9759  -0.04
13 Te 0.2673 0.2810 0.0241  -0.04
14 Te 0.7384 0.7150 0.4767  -0.06
15 Te 0.7568 0.2810 0.5136  -0.04
16 Te 0.7568 0.2810 0.0241  -0.04

Summary:
- Symmetry: R-3m (166)

***

(10)
Here is a relaxed Pr2YTl3Te6 crystal from the Alexandria database. Energies are from PBE-GGA.

Lattice parameters (Å, degrees): 7.8840 7.8840 8.5896 98.81 98.81 119.99
Atoms (fractional coordinates):
1 Pr 0.3338 0.6662 0.0000
2 Pr 0.6662 0.3338 0.0000
3 Y 0.0000 0.0000 0.0000
4 Tl 0.1693 0.8307 0.5000
5 Tl 0.8307 0.1693 0.5000
6 Tl 0.5000 0.5000 0.5000
7 Te 0.9273 0.6027 0.7816
8 Te 0.7493 0.7493 0.2209
9 Te 0.0727 0.3973 0.2184
10 Te 0.6027 0.9273 0.7816
11 Te 0.2507 0.2507 0.7791
12 Te 0.3973 0.0727 0.2184

Summary:
- Symmetry: C2/m (12)

***

(11)
Here is a relaxed PrYTlTe crystal from the Alexandria database. Energies are from PBE-GGA.

Lattice parameters (Å, degrees): 4.2796 4.2796 8.3475 75.15 75.15 60.00
Atoms (fractional coordinates):
1 Pr 0.2488 0.2488 0.2537
2 Y 0.7518 0.7518 0.7447
3 Tl 0.0032 0.0032 0.9905
4 Te 0.4963 0.4963 0.5111

Summary:
- Symmetry: R3m (160)

***

(12)
Here is a relaxed PrY3Tl4Te8 crystal from the Alexandria database. Energies are from PBE-GGA.

Lattice parameters (Å, degrees): 8.9850 9.6853 8.9852 117.64 120.00 90.00
Atoms (fractional coordinates):
1 Pr 0.0000 0.5000 0.0000
2 Y 0.5000 0.5000 0.0000
3 Y 0.5000 0.5000 0.5000
4 Y 0.0000 0.5000 0.5000
5 Tl 0.5000 0.0000 0.0000
6 Tl 0.5000 0.0000 0.5000
7 Tl 0.0000 0.0000 0.0000
8 Tl 0.0000 0.0000 0.5000
9 Te 0.2430 0.7169 0.9739
10 Te 0.2430 0.7169 0.4860
11 Te 0.2625 0.2874 0.5249
12 Te 0.7310 0.7169 0.9739
13 Te 0.2690 0.2831 0.0261
14 Te 0.7375 0.7126 0.4751
15 Te 0.7570 0.2831 0.5140
16 Te 0.7570 0.2831 0.0261

Summary:
- Symmetry: R-3m (166)

***

It is found that the total moment values, taken in the order of the records, are 0.0000, 0.0000, 0.0000, 0.0000, 0.2520, 0.1894, 0.1786, 0.5002, 0.5626, 0.0000, 0.0000, 0.0000 μB/atom.
It is found that the calculated density values, taken in the order of the records, are 7.625, 7.778, 6.395, 6.941, 7.132, 7.007, 7.267, 7.681, 7.814, 6.599, 7.376, 6.522 g/cm³.
It is found that the energy relative to the elements, uncorrected values, taken in the order of the records, are -0.896, -0.392, -1.055, -1.058, -0.885, -0.932, -0.676, -0.698, -0.652, -1.073, -0.862, -1.069 eV/atom.